! LiCaSiBr2 | the Alexandria database | PBE | relaxed; values from VASP
! Raw formation energy (meV per atom): -403.5
&SYSTEM
  ibrav = 0, nat = 5, ntyp = 4
/
ATOMIC_SPECIES
Si 28.09 Si.upf
Br 79.90 Br.upf
Ca 40.08 Ca.upf
Li 6.94 Li.upf
CELL_PARAMETERS angstrom
5.610 0.000 0.000
0.000 5.610 0.000
0.000 0.000 6.091
ATOMIC_POSITIONS crystal
Si 0.000 0.000 0.500
Br 0.000 0.500 0.000
Br 0.500 0.000 0.000
Ca 0.000 0.000 0.000
Li 0.500 0.500 0.500

! YHfReGe2 | the Alexandria database | PBE | relaxed; values from VASP
! ΔE to the lowest computed polymorph (meV per atom): 0
&SYSTEM
  ibrav = 0, nat = 5, ntyp = 4
/
ATOMIC_SPECIES
Ge 72.64 Ge.upf
Y 88.91 Y.upf
Re 186.21 Re.upf
Hf 178.49 Hf.upf
CELL_PARAMETERS angstrom
5.020 0.000 0.000
0.000 4.926 0.000
0.000 0.000 5.020
ATOMIC_POSITIONS crystal
Ge 0.000 0.000 0.500
Y 0.500 0.500 0.500
Re 0.000 0.500 0.000
Hf 0.000 0.000 0.000
Ge 0.500 0.000 0.000

Number 1: electronic total energy -14.7 eV per cell. Number 2: electronic total energy -34.6 eV per cell.